1.
Density functional theory data (GGA-PBE) for Tm2MgRh3 after structural relaxation.

Cell: 4.659 4.659 11.426 Å, 90.00 90.00 120.00°
Sites, in units of the cell vectors:
Tm  0.000  0.000  0.000
Tm  0.000  0.000  0.500
Tm  0.333  0.667  0.179
Tm  0.667  0.333  0.821
Mg  0.333  0.667  0.663
Mg  0.667  0.333  0.337
Rh  0.000  0.000  0.253
Rh  0.000  0.000  0.747
Rh  0.333  0.667  0.420
Rh  0.333  0.667  0.914
Rh  0.667  0.333  0.086
Rh  0.667  0.333  0.580

Values from the calculation:
- space group = P-3m1
- energy of formation from the pure elements (eV per atom) = -0.855
- offset from the most stable computed form (meV/atom) = 0
- size of the total moment (μB per formula unit) = 0.00
- calculated total energy (eV for the cell shown) = -75.449

***

2.
Density functional theory data (GGA-PBE) for SbBrCl2O after structural relaxation.

Cell: 4.785 4.785 4.581 Å, 90.00 90.00 90.00°
Sites, in units of the cell vectors:
Sb  0.000  0.000  0.000
Br  0.500  0.500  0.000
Cl  0.000  0.500  0.500
Cl  0.500  0.000  0.500
O  0.000  0.000  0.500

Values from the calculation:
- formation energy without anion corrections (meV/atom) = 209
- space group = P4/mmm
- size of the total moment (μB per formula unit) = 0.00
- calculated total energy (eV for the cell shown) = -13.403

***

3.
Density functional theory data (GGA-PBE) for Sm2SbN after structural relaxation.

Cell: 7.953 7.953 7.953 Å, 26.70 26.70 26.70°
Sites, in units of the cell vectors:
Sm  0.225  0.225  0.225
Sm  0.775  0.775  0.775
Sb  0.000  0.000  0.000
N  0.500  0.500  0.500

Values from the calculation:
- formation energy without anion corrections (meV/atom) = -1121
- space group = R-3m
- offset from the most stable computed form (meV/atom) = 179
- size of the total moment (μB per formula unit) = 0.00
- calculated total energy (eV for the cell shown) = -26.370